Material: Mg2IrRh8
Method: DFT, PBE
State: relaxed

Properties
- Formation energy: 184 meV per atom
- E_tot: -6.258 eV/atom
- SG: No. 12

The structure in CIF format:
```
data_Mg2IrRh8
_cell_length_a 2.737
_cell_length_b 9.646
_cell_length_c 9.646
_cell_angle_alpha 134.69
_cell_angle_beta 91.82
_cell_angle_gamma 91.82
_space_group_name_H-M_alt 'P 1'
_space_group_IT_number 1
_space_group_name_Hall 'P 1'
loop_
_atom_site_label
_atom_site_type_symbol
_atom_site_fract_x
_atom_site_fract_y
_atom_site_fract_z
Mg1 Mg 0.000 0.241 0.759
Rh1 Rh 0.655 0.349 0.349
Ir1 Ir 0.500 0.000 0.000
Rh2 Rh 0.029 0.070 0.291
Rh3 Rh 0.971 0.930 0.709
Rh4 Rh 0.971 0.709 0.930
Rh5 Rh 0.345 0.651 0.651
Mg2 Mg 0.000 0.759 0.241
Rh6 Rh 0.029 0.291 0.070
Rh7 Rh 0.500 0.633 0.367
Rh8 Rh 0.500 0.367 0.633
```